No. 1
First-principles (PBE-GGA) data for crystalline Pr7DyY12 at its relaxed geometry, as listed in Alexandria.

For the calculated formation energy, the calculation gives 437 kJ/mol of formula units. As for the final energy: -111.1 eV per formula unit. The energy above the lowest structure with this stoichiometry comes out at 0.000 eV per atom.

The structure belongs to space group R-3 (No. 148, hexagonal axes); the cell edges are 12.1005, 12.1005 and 16.4487 Å and the angles 90.00°, 90.00° and 120.00°. The asymmetric unit holds Pr at (0.0000, 0.0000, 0.0000), Pr at (0.0560, 0.8695, 0.2891), Dy at (0.0000, 0.0000, 0.5000), Y at (0.0275, 0.5781, 0.2213) and Y at (0.0540, 0.4683, 0.5831).


No. 2
First-principles (PBE-GGA) data for crystalline Sc3Tc2Ge3 at its relaxed geometry, as listed in Alexandria.

For the calculated formation energy, the calculation gives -485 kJ/mol of formula units. As for the final energy: -58.6 eV per formula unit.

The structure belongs to space group P6_3/mcm (No. 193); the cell edges are 7.7690, 7.7690 and 5.2699 Å and the angles 90.00°, 90.00° and 120.00°. The asymmetric unit holds Sc at (0.0000, 0.2483, 0.2500), Tc at (0.3333, 0.6667, 0.0000) and Ge at (0.0000, 0.3965, 0.7500).


No. 3
First-principles (PBE-GGA) data for crystalline ZrTiIrW at its relaxed geometry, as listed in Alexandria.

For the calculated formation energy, the calculation gives -148 kJ/mol of formula units. As for the final energy: -39.8 eV per formula unit.

The structure belongs to space group F-43m (No. 216); the cell edges are 6.455, 6.455 and 6.455 Å and the angles 90.00°, 90.00° and 90.00°. The asymmetric unit holds Zr at (0.000, 0.000, 0.000), Ti at (0.000, 0.000, 0.500), Ir at (0.250, 0.250, 0.750) and W at (0.250, 0.250, 0.250).


No. 4
First-principles (PBE-GGA) data for crystalline K2ZnSi at its relaxed geometry, as listed in Alexandria.

Its uncorrected formation energy is 0.431 eV/atom. As for the final energy: -7.2 eV per formula unit.

The structure belongs to space group Cmmm (No. 65); the cell edges are 6.085, 9.977 and 3.995 Å and the angles 90.00°, 90.00° and 90.00°. The asymmetric unit holds K at (0.250, 0.250, 0.000), Zn at (0.000, 0.000, 0.500) and Si at (0.000, 0.500, 0.500).


No. 5
First-principles (PBE-GGA) data for crystalline PmPr3Ga2 at its relaxed geometry, as listed in Alexandria.

For the calculated formation energy, the calculation gives -196 kJ/mol of formula units. As for the final energy: -27.2 eV per formula unit. The energy above the lowest structure with this stoichiometry comes out at 0.048 eV per atom.

The structure belongs to space group C2/m (No. 12); the cell edges are 17.848, 4.634 and 9.321 Å and the angles 90.00°, 113.00° and 90.00°. The asymmetric unit holds Pm at (0.116, 0.000, 0.140), Pr at (0.047, 0.000, 0.688), Pr at (0.150, 0.500, 0.476), Pr at (0.179, 0.500, 0.933), Ga at (0.004, 0.500, 0.142) and Ga at (0.232, 0.000, 0.713).


No. 6
First-principles (PBE-GGA) data for crystalline Th4FeTe2P at its relaxed geometry, as listed in Alexandria.

Its uncorrected formation energy is -0.976 eV/atom. As for the final energy: -57.6 eV per formula unit.

The structure belongs to space group P2/m (No. 10); the cell edges are 7.459, 4.066 and 7.854 Å and the angles 90.00°, 107.82° and 90.00°. The asymmetric unit holds Th at (0.209, 0.000, 0.194), Th at (0.260, 0.500, 0.792), Fe at (0.000, 0.500, 0.000), Te at (0.000, 0.000, 0.500), Te at (0.500, 0.500, 0.500) and P at (0.500, 0.000, 0.000).


No. 7
First-principles (PBE-GGA) data for crystalline TmCo2B at its relaxed geometry, as listed in Alexandria.

For the calculated formation energy, the calculation gives -112 kJ/mol of formula units. As for the final energy: -26.5 eV per formula unit.

The structure belongs to space group P4/nmm (No. 129, origin choice 2); the cell edges are 3.422, 3.422 and 9.272 Å and the angles 90.00°, 90.00° and 90.00°. The asymmetric unit holds Tm at (0.250, 0.250, 0.246), Co at (0.250, 0.250, 0.954), Co at (0.250, 0.750, 0.500) and B at (0.250, 0.250, 0.611).


No. 8
First-principles (PBE-GGA) data for crystalline ReTe2Au at its relaxed geometry, as listed in Alexandria.

Its uncorrected formation energy is 0.749 eV/atom. As for the final energy: -19.0 eV per formula unit. The energy above the lowest structure with this stoichiometry comes out at 0.477 eV per atom.

The structure belongs to space group C2/m (No. 12); the cell edges are 7.955, 7.971 and 2.880 Å and the angles 90.00°, 90.37° and 90.00°. The asymmetric unit holds Re at (0.000, 0.000, 0.000), Te at (0.250, 0.250, 0.000) and Au at (0.000, 0.500, 0.000).


No. 9
First-principles (PBE-GGA) data for crystalline TcSb8Rh2 at its relaxed geometry, as listed in Alexandria.

Its uncorrected formation energy is -0.002 eV/atom. As for the final energy: -58.1 eV per formula unit.

The structure belongs to space group P-1 (No. 2); the cell edges are 5.183, 7.764 and 7.882 Å and the angles 70.13°, 87.14° and 87.43°. The asymmetric unit holds Tc at (0.000, 0.000, 0.000), Sb at (0.236, 0.605, 0.561), Sb at (0.276, 0.168, 0.166), Sb at (0.304, 0.703, 0.137), Sb at (0.305, 0.128, 0.705) and Rh at (0.258, 0.364, 0.372).


No. 10
First-principles (PBE-GGA) data for crystalline YMg3Sb at its relaxed geometry, as listed in Alexandria.

Its uncorrected formation energy is 1.043 eV/atom. As for the final energy: -10.2 eV per formula unit. The energy above the lowest structure with this stoichiometry comes out at 0.718 eV per atom.

The structure belongs to space group Pm-3m (No. 221); the cell edges are 5.769, 5.769 and 5.769 Å and the angles 90.00°, 90.00° and 90.00°. The asymmetric unit holds Y at (0.000, 0.000, 0.000), Mg at (0.000, 0.000, 0.500) and Sb at (0.500, 0.500, 0.500).


No. 11
First-principles (PBE-GGA) data for crystalline Ag2Br at its relaxed geometry, as listed in Alexandria.

Its uncorrected formation energy is -0.097 eV/atom. As for the final energy: -7.7 eV per formula unit. The energy above the lowest structure with this stoichiometry comes out at 0.062 eV per atom.

The structure belongs to space group Cm (No. 8); the cell edges are 7.822, 4.524 and 9.265 Å and the angles 90.00°, 106.61° and 90.00°. The asymmetric unit holds Ag at (0.000, 0.000, 0.000), Ag at (0.115, 0.000, 0.339), Ag at (0.235, 0.500, 0.202), Ag at (0.382, 0.000, 0.144), Br at (0.281, 0.000, 0.839) and Br at (0.499, 0.000, 0.485).


No. 12
First-principles (PBE-GGA) data for crystalline In2GaCu2 at its relaxed geometry, as listed in Alexandria.

For the calculated formation energy, the calculation gives 35 kJ/mol of formula units. As for the final energy: -16.3 eV per formula unit. The energy above the lowest structure with this stoichiometry comes out at 0.000 eV per atom.

The structure belongs to space group P4/mbm (No. 127); the cell edges are 6.683, 6.683 and 4.135 Å and the angles 90.00°, 90.00° and 90.00°. The asymmetric unit holds In at (0.168, 0.332, 0.000), Ga at (0.000, 0.000, 0.500) and Cu at (0.135, 0.635, 0.500).


No. 13
First-principles (PBE-GGA) data for crystalline SmEu6 at its relaxed geometry, as listed in Alexandria.

For the calculated formation energy, the calculation gives 733 kJ/mol of formula units. As for the final energy: -58.8 eV per formula unit.

The structure belongs to space group Im-3m (No. 229); the cell edges are 8.389, 8.389 and 8.389 Å and the angles 90.00°, 90.00° and 90.00°. The asymmetric unit holds Sm at (0.000, 0.000, 0.000) and Eu at (0.000, 0.250, 0.500).


No. 14
First-principles (PBE-GGA) data for crystalline La4Ce3ScP8 at its relaxed geometry, as listed in Alexandria.

For the calculated formation energy, the calculation gives -2330 kJ/mol of formula units. As for the final energy: -111.3 eV per formula unit.

The structure belongs to space group R-3m (No. 166, hexagonal axes); the cell edges are 8.2683, 8.2683 and 20.3517 Å and the angles 90.00°, 90.00° and 120.00°. The asymmetric unit holds La at (0.0000, 0.0000, 0.0000), La at (0.0000, 0.5000, 0.0000), Ce at (0.0000, 0.5000, 0.5000), Sc at (0.0000, 0.0000, 0.5000), P at (0.0000, 0.0000, 0.2455) and P at (0.0068, 0.5034, 0.2438).


No. 15
First-principles (PBE-GGA) data for crystalline NbNiC2 at its relaxed geometry, as listed in Alexandria.

For the calculated formation energy, the calculation gives 232 kJ/mol of formula units. As for the final energy: -31.9 eV per formula unit. The energy above the lowest structure with this stoichiometry comes out at 0.000 eV per atom.

The structure belongs to space group I-42d (No. 122); the cell edges are 4.584, 4.584 and 9.314 Å and the angles 90.00°, 90.00° and 90.00°. The asymmetric unit holds Nb at (0.000, 0.000, 0.000), Ni at (0.000, 0.000, 0.500) and C at (0.219, 0.250, 0.625).


No. 16
First-principles (PBE-GGA) data for crystalline Ca3CeHf2As6 at its relaxed geometry, as listed in Alexandria.

For the calculated formation energy, the calculation gives -1379 kJ/mol of formula units. As for the final energy: -74.0 eV per formula unit.

The structure belongs to space group C2/m (No. 12); the cell edges are 7.014, 12.160 and 7.206 Å and the angles 90.00°, 109.03° and 90.00°. The asymmetric unit holds Ca at (0.000, 0.000, 0.000), Ca at (0.000, 0.337, 0.000), Ce at (0.000, 0.500, 0.500), Hf at (0.000, 0.167, 0.500), As at (0.229, 0.000, 0.725) and As at (0.249, 0.327, 0.727).


No. 17
First-principles (PBE-GGA) data for crystalline Li2ScSb2 at its relaxed geometry, as listed in Alexandria.

Its uncorrected formation energy is -0.490 eV/atom. As for the final energy: -20.9 eV per formula unit. The energy above the lowest structure with this stoichiometry comes out at 0.004 eV per atom.

The structure belongs to space group P4/mbm (No. 127); the cell edges are 8.188, 8.188 and 3.256 Å and the angles 90.00°, 90.00° and 90.00°. The asymmetric unit holds Li at (0.121, 0.379, 0.000), Sc at (0.000, 0.000, 0.500) and Sb at (0.177, 0.677, 0.500).


No. 18
First-principles (PBE-GGA) data for crystalline Ac4La5Sm2 at its relaxed geometry, as listed in Alexandria.

For the calculated formation energy, the calculation gives 175 kJ/mol of formula units. As for the final energy: -48.7 eV per formula unit.

The structure belongs to space group C2/m (No. 12); the cell edges are 18.682, 3.681 and 12.750 Å and the angles 90.00°, 93.56° and 90.00°. The asymmetric unit holds Ac at (0.041, 0.000, 0.266), Ac at (0.219, 0.500, 0.363), La at (0.000, 0.500, 0.000), La at (0.139, 0.000, 0.822), La at (0.190, 0.000, 0.089) and Sm at (0.092, 0.000, 0.539).


No. 19
First-principles (PBE-GGA) data for crystalline As2CCl at its relaxed geometry, as listed in Alexandria.

Its uncorrected formation energy is 1.576 eV/atom. As for the final energy: -14.1 eV per formula unit. The energy above the lowest structure with this stoichiometry comes out at 0.765 eV per atom.

The structure belongs to space group Fm-3m (No. 225); the cell edges are 6.299, 6.299 and 6.299 Å and the angles 90.00°, 90.00° and 90.00°. The asymmetric unit holds As at (0.250, 0.250, 0.250), C at (0.000, 0.000, 0.000) and Cl at (0.000, 0.000, 0.500).


No. 20
First-principles (PBE-GGA) data for crystalline LaCo2Si2 at its relaxed geometry, as listed in Alexandria.

Its uncorrected formation energy is -0.176 eV/atom. As for the final energy: -30.9 eV per formula unit.

The structure belongs to space group P4/mbm (No. 127); the cell edges are 7.320, 7.320 and 2.858 Å and the angles 90.00°, 90.00° and 90.00°. The asymmetric unit holds La at (0.000, 0.000, 0.000), Co at (0.127, 0.373, 0.000) and Si at (0.139, 0.639, 0.500).


No. 21
First-principles (PBE-GGA) data for crystalline BeSb2TePb at its relaxed geometry, as listed in Alexandria.

Its uncorrected formation energy is 1.360 eV/atom. As for the final energy: -12.0 eV per formula unit. The energy above the lowest structure with this stoichiometry comes out at 1.065 eV per atom.

The structure belongs to space group P4/mmm (No. 123); the cell edges are 5.844, 5.844 and 5.823 Å and the angles 90.00°, 90.00° and 90.00°. The asymmetric unit holds Be at (0.000, 0.000, 0.000), Sb at (0.000, 0.500, 0.500), Te at (0.500, 0.500, 0.000) and Pb at (0.500, 0.500, 0.500).


No. 22
First-principles (PBE-GGA) data for crystalline ThTl3 at its relaxed geometry, as listed in Alexandria.

For the calculated formation energy, the calculation gives -57 kJ/mol of formula units. As for the final energy: -15.1 eV per formula unit.

The structure belongs to space group Pm-3m (No. 221); the cell edges are 4.830, 4.830 and 4.830 Å and the angles 90.00°, 90.00° and 90.00°. The asymmetric unit holds Th at (0.000, 0.000, 0.000) and Tl at (0.000, 0.500, 0.500).


No. 23
First-principles (PBE-GGA) data for crystalline PBr2F at its relaxed geometry, as listed in Alexandria.

Its uncorrected formation energy is -0.002 eV/atom. As for the final energy: -10.6 eV per formula unit. The energy above the lowest structure with this stoichiometry comes out at 0.036 eV per atom.

The structure belongs to space group I-42d (No. 122); the cell edges are 6.995, 6.995 and 7.438 Å and the angles 90.00°, 90.00° and 90.00°. The asymmetric unit holds P at (0.000, 0.000, 0.000), Br at (0.222, 0.250, 0.125) and F at (0.000, 0.000, 0.500).